# CaAcCdPt (PBE, optimized geometry)
data_CaAcCdPt
_cell_length_a 7.587
_cell_length_b 7.587
_cell_length_c 7.587
_cell_angle_alpha 90.00
_cell_angle_beta 90.00
_cell_angle_gamma 90.00
_symmetry_space_group_name_H-M 'F -4 3 m'
_symmetry_Int_Tables_number 216
_symmetry_space_group_name_Hall 'F -4 2 3'
loop_
_atom_site_label
_atom_site_type_symbol
_atom_site_fract_x
_atom_site_fract_y
_atom_site_fract_z
Ca1 Ca 0.000 0.000 0.000
Ac1 Ac 0.000 0.000 0.500
Cd1 Cd 0.250 0.250 0.750
Pt1 Pt 0.250 0.250 0.250
# * calculated formation energy: -2.4 eV/f.u.
# * crystal system: cubic
# * D(E_F): 10.72 states/eV/cell